[1]
# Tl2HgAs4 PBE relaxed
data_Tl2HgAs4
_symmetry_space_group_name_H-M 'I 4/m m m'
_symmetry_Int_Tables_number 139
_symmetry_space_group_name_Hall '-I 4 2'
_cell_length_a 7.1753
_cell_length_b 7.1753
_cell_length_c 9.7340
_cell_angle_alpha 90.00
_cell_angle_beta 90.00
_cell_angle_gamma 90.00
loop_
_atom_site_label
_atom_site_type_symbol
_atom_site_fract_x
_atom_site_fract_y
_atom_site_fract_z
Tl1 Tl 0.0000 0.5000 0.2500
Hg1 Hg 0.0000 0.0000 0.0000
As1 As 0.0000 0.2414 0.5000
# Uncorrected energy: -3.241 eV per atom
# Formation energy from the elements: 0.13 eV per atom

---

[2]
# TlHgAs PBE relaxed
data_TlHgAs
_symmetry_space_group_name_H-M 'C 1 2/m 1'
_symmetry_Int_Tables_number 12
_symmetry_space_group_name_Hall '-C 2y'
_cell_length_a 5.6069
_cell_length_b 4.9472
_cell_length_c 12.1025
_cell_angle_alpha 90.00
_cell_angle_beta 90.25
_cell_angle_gamma 90.00
loop_
_atom_site_label
_atom_site_type_symbol
_atom_site_fract_x
_atom_site_fract_y
_atom_site_fract_z
Tl1 Tl 0.2492 0.0000 0.2747
Hg1 Hg 0.2393 0.5000 0.0834
As1 As 0.2053 0.5000 0.4598
# Uncorrected energy: -2.418 eV per atom
# Formation energy from the elements: 0.02 eV per atom

---

[3]
# Tl2HgAs2 PBE relaxed
data_Tl2HgAs2
_symmetry_space_group_name_H-M 'P 4/m b m'
_symmetry_Int_Tables_number 127
_symmetry_space_group_name_Hall '-P 4 2ab'
_cell_length_a 7.1858
_cell_length_b 7.1858
_cell_length_c 5.3303
_cell_angle_alpha 90.00
_cell_angle_beta 90.00
_cell_angle_gamma 90.00
loop_
_atom_site_label
_atom_site_type_symbol
_atom_site_fract_x
_atom_site_fract_y
_atom_site_fract_z
Tl1 Tl 0.1767 0.3233 0.0000
Hg1 Hg 0.0000 0.0000 0.5000
As1 As 0.1222 0.6222 0.5000
# Offset from the most stable computed form: 45 meV per atom
# Uncorrected energy: -2.792 eV per atom
# Formation energy from the elements: 0.07 eV per atom

---

[4]
# TlHgAs PBE relaxed
data_TlHgAs
_symmetry_space_group_name_H-M 'F -4 3 m'
_symmetry_Int_Tables_number 216
_symmetry_space_group_name_Hall 'F -4 2 3'
_cell_length_a 7.0151
_cell_length_b 7.0151
_cell_length_c 7.0151
_cell_angle_alpha 90.00
_cell_angle_beta 90.00
_cell_angle_gamma 90.00
loop_
_atom_site_label
_atom_site_type_symbol
_atom_site_fract_x
_atom_site_fract_y
_atom_site_fract_z
Tl1 Tl 0.0000 0.0000 0.0000
Hg1 Hg 0.0000 0.0000 0.5000
As1 As 0.2500 0.2500 0.7500
# Uncorrected energy: -2.313 eV per atom
# Formation energy from the elements: 0.13 eV per atom

---

[5]
# Tl3HgAs PBE relaxed
data_Tl3HgAs
_symmetry_space_group_name_H-M 'F m m m'
_symmetry_Int_Tables_number 69
_symmetry_space_group_name_Hall '-F 2 2'
_cell_length_a 6.6981
_cell_length_b 10.4116
_cell_length_c 17.3387
_cell_angle_alpha 90.00
_cell_angle_beta 90.00
_cell_angle_gamma 90.00
loop_
_atom_site_label
_atom_site_type_symbol
_atom_site_fract_x
_atom_site_fract_y
_atom_site_fract_z
Tl1 Tl 0.0000 0.0000 0.1932
Tl2 Tl 0.0000 0.1910 0.3949
Hg1 Hg 0.2170 0.0000 0.0000
As1 As 0.2500 0.2500 0.2500
# Offset from the most stable computed form: 0 meV per atom
# Uncorrected energy: -2.361 eV per atom
# Formation energy from the elements: 0.05 eV per atom

---

[6]
# Tl17Hg11As PBE relaxed
data_Tl17Hg11As
_symmetry_space_group_name_H-M 'C 1 m 1'
_symmetry_Int_Tables_number 8
_symmetry_space_group_name_Hall 'C -2y'
_cell_length_a 12.2041
_cell_length_b 15.9019
_cell_length_c 10.1661
_cell_angle_alpha 90.00
_cell_angle_beta 120.51
_cell_angle_gamma 90.00
loop_
_atom_site_label
_atom_site_type_symbol
_atom_site_fract_x
_atom_site_fract_y
_atom_site_fract_z
Tl1 Tl 0.0000 0.0000 0.0000
Tl2 Tl 0.0024 0.0000 0.6131
Tl3 Tl 0.0182 0.3241 0.3079
Tl4 Tl 0.0327 0.3252 0.7136
Tl5 Tl 0.1786 0.1247 0.9237
Tl6 Tl 0.1897 0.5000 0.2906
Tl7 Tl 0.2002 0.5000 0.9362
Tl8 Tl 0.2063 0.1942 0.6170
Tl9 Tl 0.2324 0.1265 0.2962
Tl10 Tl 0.2996 0.0000 0.6210
Tl11 Tl 0.4038 0.2979 0.9737
Hg1 Hg 0.0067 0.5000 0.5184
Hg2 Hg 0.2047 0.3051 0.1060
Hg3 Hg 0.2715 0.4026 0.6640
Hg4 Hg 0.3641 0.3109 0.4708
Hg5 Hg 0.4494 0.0965 0.9556
Hg6 Hg 0.4711 0.4043 0.2922
As1 As 0.3799 0.0000 0.1848
# Uncorrected energy: -1.656 eV per atom
# Formation energy from the elements: 0.01 eV per atom

---

[7]
# Tl4Hg2As PBE relaxed
data_Tl4Hg2As
_symmetry_space_group_name_H-M 'I 4/m m m'
_symmetry_Int_Tables_number 139
_symmetry_space_group_name_Hall '-I 4 2'
_cell_length_a 5.7766
_cell_length_b 5.7766
_cell_length_c 15.7511
_cell_angle_alpha 90.00
_cell_angle_beta 90.00
_cell_angle_gamma 90.00
loop_
_atom_site_label
_atom_site_type_symbol
_atom_site_fract_x
_atom_site_fract_y
_atom_site_fract_z
Tl1 Tl 0.0000 0.0000 0.1848
Tl2 Tl 0.0000 0.5000 0.0000
Hg1 Hg 0.0000 0.0000 0.3854
As1 As 0.0000 0.0000 0.0000
# Offset from the most stable computed form: 146 meV per atom
# Uncorrected energy: -1.935 eV per atom
# Formation energy from the elements: 0.17 eV per atom

---

[8]
# Tl12Hg5As2 PBE relaxed
data_Tl12Hg5As2
_symmetry_space_group_name_H-M 'C 1 2/m 1'
_symmetry_Int_Tables_number 12
_symmetry_space_group_name_Hall '-C 2y'
_cell_length_a 18.3764
_cell_length_b 6.8543
_cell_length_c 9.2672
_cell_angle_alpha 90.00
_cell_angle_beta 97.68
_cell_angle_gamma 90.00
loop_
_atom_site_label
_atom_site_type_symbol
_atom_site_fract_x
_atom_site_fract_y
_atom_site_fract_z
Tl1 Tl 0.0055 0.0000 0.1875
Tl2 Tl 0.0574 0.5000 0.7091
Tl3 Tl 0.1536 0.2611 0.4184
Tl4 Tl 0.1570 0.2530 0.0330
Hg1 Hg 0.0000 0.5000 0.0000
Hg2 Hg 0.1822 0.0000 0.7339
Hg3 Hg 0.2276 0.5000 0.7368
As1 As 0.0000 0.1821 0.5000
# Uncorrected energy: -2.032 eV per atom
# Formation energy from the elements: 0.03 eV per atom

---

[9]
# Tl2Hg2As PBE relaxed
data_Tl2Hg2As
_symmetry_space_group_name_H-M 'P 4/m b m'
_symmetry_Int_Tables_number 127
_symmetry_space_group_name_Hall '-P 4 2ab'
_cell_length_a 7.5086
_cell_length_b 7.5086
_cell_length_c 5.4903
_cell_angle_alpha 90.00
_cell_angle_beta 90.00
_cell_angle_gamma 90.00
loop_
_atom_site_label
_atom_site_type_symbol
_atom_site_fract_x
_atom_site_fract_y
_atom_site_fract_z
Tl1 Tl 0.1510 0.3490 0.0000
Hg1 Hg 0.1611 0.6611 0.5000
As1 As 0.0000 0.0000 0.0000
# Offset from the most stable computed form: 144 meV per atom
# Uncorrected energy: -1.839 eV per atom
# Formation energy from the elements: 0.16 eV per atom

---

[10]
# TlHgAs PBE relaxed
data_TlHgAs
_symmetry_space_group_name_H-M 'I m m 2'
_symmetry_Int_Tables_number 44
_symmetry_space_group_name_Hall 'I 2 -2'
_cell_length_a 3.1670
_cell_length_b 5.3477
_cell_length_c 9.1890
_cell_angle_alpha 90.00
_cell_angle_beta 90.00
_cell_angle_gamma 90.00
loop_
_atom_site_label
_atom_site_type_symbol
_atom_site_fract_x
_atom_site_fract_y
_atom_site_fract_z
Tl1 Tl 0.0000 0.0000 0.0000
Hg1 Hg 0.0000 0.0000 0.3341
As1 As 0.0000 0.0000 0.6496
# Uncorrected energy: -2.214 eV per atom
# Formation energy from the elements: 0.23 eV per atom

---

[11]
# TlHgAs2 PBE relaxed
data_TlHgAs2
_symmetry_space_group_name_H-M 'I -4 2 d'
_symmetry_Int_Tables_number 122
_symmetry_space_group_name_Hall 'I -4 2bw'
_cell_length_a 6.2327
_cell_length_b 6.2327
_cell_length_c 12.5393
_cell_angle_alpha 90.00
_cell_angle_beta 90.00
_cell_angle_gamma 90.00
loop_
_atom_site_label
_atom_site_type_symbol
_atom_site_fract_x
_atom_site_fract_y
_atom_site_fract_z
Tl1 Tl 0.0000 0.0000 0.0000
Hg1 Hg 0.0000 0.0000 0.5000
As1 As 0.2388 0.2500 0.6250
# Offset from the most stable computed form: 197 meV per atom
# Uncorrected energy: -2.785 eV per atom
# Formation energy from the elements: 0.21 eV per atom

---

[12]
# TlHg2As PBE relaxed
data_TlHg2As
_symmetry_space_group_name_H-M 'P 1 2/m 1'
_symmetry_Int_Tables_number 10
_symmetry_space_group_name_Hall '-P 2y'
_cell_length_a 3.0773
_cell_length_b 4.6724
_cell_length_c 7.4057
_cell_angle_alpha 90.00
_cell_angle_beta 90.05
_cell_angle_gamma 90.00
loop_
_atom_site_label
_atom_site_type_symbol
_atom_site_fract_x
_atom_site_fract_y
_atom_site_fract_z
Tl1 Tl 0.0000 0.0000 0.0000
Hg1 Hg 0.4976 0.5000 0.2670
As1 As 0.5000 0.0000 0.5000
# Offset from the most stable computed form: 25 meV per atom
# Uncorrected energy: -1.763 eV per atom
# Formation energy from the elements: 0.14 eV per atom

---

[13]
# Tl2HgAs2 PBE relaxed
data_Tl2HgAs2
_symmetry_space_group_name_H-M 'P -1'
_symmetry_Int_Tables_number 2
_symmetry_space_group_name_Hall '-P 1'
_cell_length_a 4.9837
_cell_length_b 6.0182
_cell_length_c 6.0672
_cell_angle_alpha 108.58
_cell_angle_beta 102.77
_cell_angle_gamma 105.48
loop_
_atom_site_label
_atom_site_type_symbol
_atom_site_fract_x
_atom_site_fract_y
_atom_site_fract_z
Tl1 Tl 0.0886 0.3389 0.2520
Hg1 Hg 0.5000 0.0000 0.5000
As1 As 0.4534 0.1690 0.9353
# Offset from the most stable computed form: 12 meV per atom
# Uncorrected energy: -2.825 eV per atom
# Formation energy from the elements: 0.04 eV per atom

---

[14]
# Tl10Hg6As PBE relaxed
data_Tl10Hg6As
_symmetry_space_group_name_H-M 'P -3 1 m'
_symmetry_Int_Tables_number 162
_symmetry_space_group_name_Hall '-P 3 2'
_cell_length_a 9.4507
_cell_length_b 9.4507
_cell_length_c 6.6203
_cell_angle_alpha 90.00
_cell_angle_beta 90.00
_cell_angle_gamma 120.00
loop_
_atom_site_label
_atom_site_type_symbol
_atom_site_fract_x
_atom_site_fract_y
_atom_site_fract_z
Tl1 Tl 0.0000 0.2546 0.2344
Tl2 Tl 0.3333 0.6667 0.0000
Tl3 Tl 0.3333 0.6667 0.5000
Hg1 Hg 0.0000 0.3922 0.7360
As1 As 0.0000 0.0000 0.5000
# Uncorrected energy: -1.767 eV per atom
# Formation energy from the elements: 0.00 eV per atom

---

[15]
# Tl2Hg2As PBE relaxed
data_Tl2Hg2As
_symmetry_space_group_name_H-M 'P 1'
_symmetry_Int_Tables_number 1
_symmetry_space_group_name_Hall 'P 1'
_cell_length_a 4.4319
_cell_length_b 7.6044
_cell_length_c 9.1976
_cell_angle_alpha 95.02
_cell_angle_beta 96.03
_cell_angle_gamma 102.44
loop_
_atom_site_label
_atom_site_type_symbol
_atom_site_fract_x
_atom_site_fract_y
_atom_site_fract_z
Tl1 Tl 0.0000 0.0000 0.0000
Tl2 Tl 0.0911 0.1893 0.6418
Tl3 Tl 0.7958 0.6081 0.6698
Tl4 Tl 0.8863 0.7986 0.3107
Hg1 Hg 0.2474 0.4666 0.3731
Hg2 Hg 0.2768 0.6168 0.0420
Hg3 Hg 0.6087 0.1818 0.2694
Hg4 Hg 0.6380 0.3320 0.9385
As1 As 0.4144 0.8659 0.7845
As2 As 0.4721 0.9317 0.5264
# Offset from the most stable computed form: 0 meV per atom
# Uncorrected energy: -1.983 eV per atom
# Formation energy from the elements: 0.01 eV per atom

---

[16]
# Tl5Hg5As PBE relaxed
data_Tl5Hg5As
_symmetry_space_group_name_H-M 'P -1'
_symmetry_Int_Tables_number 2
_symmetry_space_group_name_Hall '-P 1'
_cell_length_a 6.5855
_cell_length_b 6.9397
_cell_length_c 8.8703
_cell_angle_alpha 106.44
_cell_angle_beta 93.42
_cell_angle_gamma 117.40
loop_
_atom_site_label
_atom_site_type_symbol
_atom_site_fract_x
_atom_site_fract_y
_atom_site_fract_z
Tl1 Tl 0.0000 0.0000 0.0000
Tl2 Tl 0.1822 0.6809 0.6875
Tl3 Tl 0.2924 0.6254 0.1205
Hg1 Hg 0.1642 0.2209 0.7130
Hg2 Hg 0.3016 0.2769 0.3729
Hg3 Hg 0.5000 0.0000 0.5000
As1 As 0.5000 0.0000 0.0000
# Uncorrected energy: -1.611 eV per atom
# Formation energy from the elements: 0.02 eV per atom

---

[17]
# TlHg2As PBE relaxed
data_TlHg2As
_symmetry_space_group_name_H-M 'R -3 m'
_symmetry_Int_Tables_number 166
_symmetry_space_group_name_Hall '-R 3 2"'
_cell_length_a 3.3336
_cell_length_b 3.3336
_cell_length_c 31.2990
_cell_angle_alpha 90.00
_cell_angle_beta 90.00
_cell_angle_gamma 120.00
loop_
_atom_site_label
_atom_site_type_symbol
_atom_site_fract_x
_atom_site_fract_y
_atom_site_fract_z
Tl1 Tl 0.0000 0.0000 0.0000
Hg1 Hg 0.0000 0.0000 0.2448
As1 As 0.0000 0.0000 0.5000
# Offset from the most stable computed form: 117 meV per atom
# Uncorrected energy: -1.671 eV per atom
# Formation energy from the elements: 0.23 eV per atom

---

[18]
# TlHgAs2 PBE relaxed
data_TlHgAs2
_symmetry_space_group_name_H-M 'P 4/m m m'
_symmetry_Int_Tables_number 123
_symmetry_space_group_name_Hall '-P 4 2'
_cell_length_a 3.0224
_cell_length_b 3.0224
_cell_length_c 10.4762
_cell_angle_alpha 90.00
_cell_angle_beta 90.00
_cell_angle_gamma 90.00
loop_
_atom_site_label
_atom_site_type_symbol
_atom_site_fract_x
_atom_site_fract_y
_atom_site_fract_z
Tl1 Tl 0.0000 0.0000 0.0000
Hg1 Hg 0.0000 0.0000 0.5000
As1 As 0.5000 0.5000 0.2637
# Offset from the most stable computed form: 351 meV per atom
# Uncorrected energy: -2.631 eV per atom
# Formation energy from the elements: 0.36 eV per atom

---

[19]
# TlHgAs2 PBE relaxed
data_TlHgAs2
_symmetry_space_group_name_H-M 'P 4 m m'
_symmetry_Int_Tables_number 99
_symmetry_space_group_name_Hall 'P 4 -2'
_cell_length_a 3.5159
_cell_length_b 3.5159
_cell_length_c 8.2427
_cell_angle_alpha 90.00
_cell_angle_beta 90.00
_cell_angle_gamma 90.00
loop_
_atom_site_label
_atom_site_type_symbol
_atom_site_fract_x
_atom_site_fract_y
_atom_site_fract_z
Tl1 Tl 0.0000 0.0000 0.0000
Hg1 Hg 0.5000 0.5000 0.7044
As1 As 0.0000 0.0000 0.4154
As2 As 0.5000 0.5000 0.2868
# Offset from the most stable computed form: 79 meV per atom
# Uncorrected energy: -2.902 eV per atom
# Formation energy from the elements: 0.09 eV per atom

---

[20]
# TlHgAs2 PBE relaxed
data_TlHgAs2
_symmetry_space_group_name_H-M 'C m m 2'
_symmetry_Int_Tables_number 35
_symmetry_space_group_name_Hall 'C 2 -2'
_cell_length_a 3.5716
_cell_length_b 5.6741
_cell_length_c 10.3106
_cell_angle_alpha 90.00
_cell_angle_beta 90.00
_cell_angle_gamma 90.00
loop_
_atom_site_label
_atom_site_type_symbol
_atom_site_fract_x
_atom_site_fract_y
_atom_site_fract_z
Tl1 Tl 0.0000 0.0000 0.0000
Hg1 Hg 0.0000 0.5000 0.2778
As1 As 0.0000 0.0000 0.5466
As2 As 0.0000 0.5000 0.7157
# Offset from the most stable computed form: 196 meV per atom
# Uncorrected energy: -2.786 eV per atom
# Formation energy from the elements: 0.21 eV per atom